This record from Alexandria via LeMat-Bulk describes a relaxed structure of NaTaCoF2. The functional is PBE with a Hubbard U.

Properties
The value obtained for the total energy is -3.98 eV/atom. Its crystal system is tetragonal.

abc: 4.1286 5.5260 4.1286
angles: 90.00 90.00 90.00
Each line ends with the local moment (μB).
Atoms (fractional coordinates):
F 0.5000 0.0000 0.0000  0.05
F 0.0000 0.0000 0.5000  0.07
Ta 0.5000 0.5000 0.5000  2.12
Co 0.0000 0.0000 0.0000  2.33
Na 0.0000 0.5000 0.0000  0.03